1.
Compound: Cs2HgPO4
Source: Alexandria
Functional: PBE
Structure: relaxed

abc: 6.1120 12.0050 22.8457
angles: 90.00 90.00 90.00
Last column: nearest neighbours and their distance in Å.
Space group Fddd (No. 70, origin choice 2)
Symmetry-distinct sites (fractional):
1 Cs 0.1250 0.1250 0.3055  4 O 3.27-3.28
2 Hg 0.1250 0.1250 0.1250  4 O 2.50
3 P 0.1250 0.1250 0.6250  4 O 1.57
4 O 0.0235 0.2972 0.8363  1 P 1.57

Summary:
total DFT energy (no corrections): -5.00 eV per atom
formation energy without anion corrections: -1.597 eV per atom

2.
Compound: BeSn2F
Source: Alexandria
Functional: PBE
Structure: relaxed

abc: 5.3016 5.3016 12.5679
angles: 90.00 90.00 90.00
Last column: nearest neighbours and their distance in Å.
Space group I-42d (No. 122)
Symmetry-distinct sites (fractional):
1 Be 0.0000 0.0000 0.0000  4 Sn 2.41
2 Sn 0.2375 0.2500 0.1250  2 Be 2.41, 2 F 2.48
3 F 0.0000 0.0000 0.5000  4 Sn 2.48

Summary:
total DFT energy (no corrections): -3.70 eV per atom
ΔE to the lowest computed polymorph: 0.087 eV per atom
formation energy without anion corrections: -0.298 eV per atom

3.
Compound: AcYGa2
Source: Alexandria
Functional: PBE
Structure: relaxed

abc: 8.8335 4.3410 11.7634
angles: 90.00 90.00 90.00
Last column: nearest neighbours and their distance in Å.
Space group Pnma (No. 62)
Symmetry-distinct sites (fractional):
1 Ac 0.1308 0.2500 0.1335  9 Ga 3.39-3.67
2 Y 0.0065 0.7500 0.3840  5 Ga 2.92-3.06
3 Ga 0.1599 0.2500 0.8302  2 Ga 2.64, 1 Y 2.92
4 Ga 0.2382 0.2500 0.4325  2 Ga 2.64

Summary:
total DFT energy (no corrections): -4.67 eV per atom
ΔE_f: -0.52 eV per atom

4.
Compound: YAlTlAg
Source: Alexandria
Functional: PBE
Structure: relaxed

abc: 7.1087 7.1087 7.1087
angles: 90.00 90.00 90.00
Last column: nearest neighbours and their distance in Å.
Space group F-43m (No. 216)
Symmetry-distinct sites (fractional):
1 Y 0.0000 0.0000 0.0000  4 Ag 3.08, 4 Tl 3.08
2 Al 0.0000 0.0000 0.5000  4 Tl 3.08, 4 Ag 3.08
3 Tl 0.2500 0.2500 0.7500  4 Y 3.08, 4 Al 3.08
4 Ag 0.2500 0.2500 0.2500  4 Al 3.08, 4 Y 3.08

Summary:
total DFT energy (no corrections): -4.01 eV per atom
ΔE_f: -0.16 eV per atom

5.
Compound: Nd4SBr5
Source: Alexandria
Functional: PBE
Structure: relaxed

abc: 18.4602 4.0655 8.5543
angles: 90.00 103.90 90.00
Last column: nearest neighbours and their distance in Å.
Space group C2/m (No. 12)
Symmetry-distinct sites (fractional):
1 Nd 0.0013 0.0000 0.2827  2 S 2.76, 1 Br 2.99
2 Nd 0.1497 0.5000 0.5759  1 S 2.68, 2 Br 2.99
3 S 0.0000 0.5000 0.5000  6 Nd 2.68-2.76
4 Br 0.0000 0.5000 0.0000  4 Nd 3.15
5 Br 0.1646 0.0000 0.8384  3 Nd 2.99
6 Br 0.1728 0.0000 0.3256  4 Nd 3.06-3.18

Summary:
total DFT energy (no corrections): -4.87 eV per atom
formation energy without anion corrections: -1.709 eV per atom

6.
Compound: AlCrRe
Source: Alexandria
Functional: PBE
Structure: relaxed

abc: 2.9794 4.4334 12.6219
angles: 90.00 90.00 90.00
Last column: nearest neighbours and their distance in Å.
Space group Fmm2 (No. 42)
Symmetry-distinct sites (fractional):
1 Al 0.0000 0.0000 0.0000  2 Cr 2.55, 4 Al 2.67, 2 Re 2.68
2 Cr 0.0000 0.0000 0.6637  2 Re 2.51, 2 Al 2.55, 4 Cr 2.67
3 Re 0.0000 0.0000 0.3236  2 Cr 2.51, 4 Re 2.67, 2 Al 2.68

Summary:
total DFT energy (no corrections): -8.60 eV per atom
ΔE_f: 0.01 eV per atom
ΔE to the lowest computed polymorph: 0.233 eV per atom

7.
Compound: YZnBRh2
Source: Alexandria
Functional: PBE
Structure: relaxed

abc: 4.2634 4.2634 4.2015
angles: 90.00 90.00 90.00
Last column: nearest neighbours and their distance in Å.
Space group P4/mmm (No. 123)
Symmetry-distinct sites (fractional):
1 Y 0.0000 0.0000 0.0000  8 Rh 2.99, 4 Zn 3.01
2 Zn 0.5000 0.5000 0.0000  2 B 2.10
3 B 0.5000 0.5000 0.5000  2 Zn 2.10, 4 Rh 2.13
4 Rh 0.0000 0.5000 0.5000  2 B 2.13

Summary:
total DFT energy (no corrections): -6.31 eV per atom
ΔE_f: -0.49 eV per atom

8.
Compound: Lu3RhC
Source: Alexandria
Functional: PBE
Structure: relaxed

abc: 4.6710 4.6710 4.6710
angles: 90.00 90.00 90.00
Last column: nearest neighbours and their distance in Å.
Space group Pm-3m (No. 221)
Symmetry-distinct sites (fractional):
1 Lu 0.0000 0.0000 0.5000  2 C 2.34
2 Rh 0.5000 0.5000 0.5000  12 Lu 3.30
3 C 0.0000 0.0000 0.0000  6 Lu 2.34

Summary:
total DFT energy (no corrections): -6.44 eV per atom
ΔE_f: -0.41 eV per atom